Record 1
This record from the Alexandria database describes Sr5Ag3 at its PBEsol-relaxed geometry. The functional is SCAN.

abc: 7.009 9.462 9.462
angles: 120.00 90.00 90.00
Atoms (fractional coordinates):
Ag (0.750, 0.393, 0.393)
Ag (0.250, 0.607, 0.607)
Ag (0.750, 0.000, 0.607)
Ag (0.750, 0.607, 0.000)
Ag (0.250, 0.393, 0.000)
Ag (0.250, 0.000, 0.393)
Sr (0.000, 0.667, 0.333)
Sr (0.500, 0.333, 0.667)
Sr (0.000, 0.333, 0.667)
Sr (0.500, 0.667, 0.333)
Sr (0.750, 0.743, 0.743)
Sr (0.250, 0.257, 0.257)
Sr (0.750, 0.000, 0.257)
Sr (0.750, 0.257, 0.000)
Sr (0.250, 0.743, 0.000)
Sr (0.250, 0.000, 0.743)

Calculated values
The size of the total moment is 0.10 μB/cell. Its crystal system is hexagonal.



Record 2
This record from the Alexandria database describes SrAg2 at its PBEsol-relaxed geometry. The functional is SCAN.

abc: 4.315 4.315 9.024
angles: 103.83 103.83 90.00
Atoms (fractional coordinates):
Sr (0.250, 0.750, 0.500)
Sr (0.000, 0.000, 0.000)
Ag (0.829, 0.329, 0.658)
Ag (0.421, 0.421, 0.842)
Ag (0.671, 0.171, 0.342)
Ag (0.579, 0.579, 0.158)

Calculated values
The size of the total moment is 0.00 μB/cell. Its crystal system is tetragonal.



Record 3
This record from the Alexandria database describes Sr5Ag4 at its PBEsol-relaxed geometry. The functional is SCAN.

abc: 7.171 9.581 9.581
angles: 120.00 90.00 90.00
Atoms (fractional coordinates):
Ag (0.000, 0.000, 0.000)
Ag (0.500, 0.000, 0.000)
Ag (0.750, 0.000, 0.393)
Ag (0.750, 0.393, 0.000)
Ag (0.750, 0.607, 0.607)
Ag (0.250, 0.000, 0.607)
Ag (0.250, 0.607, 0.000)
Ag (0.250, 0.393, 0.393)
Sr (0.750, 0.000, 0.733)
Sr (0.750, 0.733, 0.000)
Sr (0.750, 0.267, 0.267)
Sr (0.250, 0.000, 0.267)
Sr (0.250, 0.267, 0.000)
Sr (0.250, 0.733, 0.733)
Sr (0.000, 0.333, 0.667)
Sr (0.500, 0.667, 0.333)
Sr (0.000, 0.667, 0.333)
Sr (0.500, 0.333, 0.667)

Calculated values
The size of the total moment is 0.00 μB/cell. Its crystal system is hexagonal.



Record 4
This record from the Alexandria database describes SrAg3 at its PBEsol-relaxed geometry. The functional is SCAN.

abc: 5.804 7.652 8.133
angles: 90.00 90.00 90.00
Atoms (fractional coordinates):
Ag (0.138, 0.750, 0.122)
Ag (0.638, 0.250, 0.378)
Ag (0.362, 0.750, 0.622)
Ag (0.862, 0.250, 0.878)
Ag (0.587, 0.060, 0.669)
Ag (0.087, 0.940, 0.831)
Ag (0.913, 0.440, 0.169)
Ag (0.413, 0.560, 0.331)
Ag (0.413, 0.940, 0.331)
Ag (0.913, 0.060, 0.169)
Ag (0.087, 0.560, 0.831)
Ag (0.587, 0.440, 0.669)
Sr (0.621, 0.750, 0.966)
Sr (0.121, 0.250, 0.534)
Sr (0.879, 0.750, 0.466)
Sr (0.379, 0.250, 0.034)

Calculated values
The size of the total moment is 0.00 μB/cell. Its crystal system is orthorhombic.



Number 1: formation enthalpy at 0 K -218 meV/atom. Number 2: formation enthalpy at 0 K -264 meV/atom. Number 3: formation enthalpy at 0 K -198 meV/atom. Number 4: formation enthalpy at 0 K -214 meV/atom.